Entry 1:
Below is a geometry-optimized TlAs3F structure, with properties calculated at the PBE level.

Cell and atoms, written as POSCAR:
```
TlAs3F
1.0
-0.029 -4.840 -2.276
-2.104 -2.082 4.455
-4.917 0.919 -1.892
Tl As F
1 3 1
direct
0.000 0.000 0.000 Tl
0.000 0.500 0.000 As
0.000 0.000 0.500 As
0.500 0.000 0.000 As
0.500 0.500 0.500 F
```

Output
As for the crystal system: cubic. Its theoretical density is 4.86 g/cm³. Its space group is Pm-3m. For the distance to the lowest polymorph of the same formula, the calculation gives 738.2 meV/atom.



Entry 2:
Below is a geometry-optimized TlAs3F structure, with properties calculated at the PBE level.

Cell and atoms, written as POSCAR:
```
TlAs3F
1.0
4.751 0.000 0.000
0.000 4.751 0.000
0.000 0.000 4.751
Tl As F
1 3 1
direct
0.500 0.500 0.500 Tl
0.000 0.500 0.000 As
0.000 0.000 0.500 As
0.500 0.000 0.000 As
0.000 0.000 0.000 F
```

Output
As for the crystal system: cubic. Its theoretical density is 6.94 g/cm³. Its space group is Pm-3m. For the distance to the lowest polymorph of the same formula, the calculation gives 0.0 meV/atom.



Entry 3:
Below is a geometry-optimized TlAsF4 structure, with properties calculated at the PBE level.

Cell and atoms, written as POSCAR:
```
TlAsF4
1.0
0.535 4.444 1.834
0.220 0.698 4.627
6.445 0.898 2.333
Tl As F
1 1 4
direct
0.610 0.500 0.000 Tl
0.094 0.000 0.500 As
0.684 0.332 0.473 F
0.945 0.919 0.814 F
0.178 0.081 0.186 F
0.989 0.668 0.527 F
```

Output
As for the crystal system: monoclinic. Its theoretical density is 4.88 g/cm³. Its space group is C2. For the distance to the lowest polymorph of the same formula, the calculation gives 0.0 meV/atom.



Entry 4:
Below is a geometry-optimized Tl12As3F5 structure, with properties calculated at the PBE level.

Cell and atoms, written as POSCAR:
```
Tl12As3F5
1.0
-4.983 -2.298 13.569
13.334 -5.881 -1.362
0.732 14.393 -2.556
As F Tl
12 20 48
direct
0.750 0.375 0.125 As
0.875 0.750 0.125 As
0.375 0.750 0.625 As
0.250 0.125 0.375 As
0.875 0.125 0.250 As
0.375 0.625 0.250 As
0.625 0.375 0.750 As
0.125 0.875 0.750 As
0.750 0.875 0.625 As
0.625 0.250 0.375 As
0.125 0.250 0.875 As
0.250 0.625 0.875 As
0.125 0.375 0.250 F
0.000 0.500 0.000 F
0.000 0.000 0.000 F
0.375 0.250 0.125 F
0.500 0.000 0.500 F
0.500 0.500 0.000 F
0.125 0.750 0.375 F
0.750 0.125 0.875 F
0.750 0.625 0.375 F
0.375 0.125 0.750 F
0.625 0.875 0.250 F
0.500 0.500 0.500 F
0.500 0.000 0.000 F
0.000 0.000 0.500 F
0.250 0.375 0.625 F
0.250 0.875 0.125 F
0.000 0.500 0.500 F
0.875 0.250 0.625 F
0.625 0.750 0.875 F
0.875 0.625 0.750 F
0.710 0.126 0.034 Tl
0.324 0.534 0.408 Tl
0.966 0.374 0.290 Tl
0.534 0.210 0.126 Tl
0.584 0.710 0.676 Tl
0.966 0.592 0.176 Tl
0.324 0.790 0.416 Tl
0.092 0.916 0.126 Tl
0.592 0.966 0.676 Tl
0.710 0.584 0.176 Tl
0.790 0.466 0.374 Tl
0.824 0.908 0.034 Tl
0.126 0.710 0.534 Tl
0.374 0.408 0.084 Tl
0.084 0.908 0.374 Tl
0.416 0.126 0.592 Tl
0.084 0.176 0.210 Tl
0.466 0.676 0.092 Tl
0.824 0.916 0.290 Tl
0.126 0.416 0.092 Tl
0.374 0.966 0.790 Tl
0.592 0.626 0.416 Tl
0.908 0.824 0.534 Tl
0.790 0.324 0.916 Tl
0.408 0.374 0.584 Tl
0.092 0.176 0.466 Tl
0.210 0.676 0.084 Tl
0.176 0.084 0.710 Tl
0.626 0.034 0.210 Tl
0.874 0.584 0.908 Tl
0.534 0.324 0.908 Tl
0.584 0.874 0.408 Tl
0.916 0.824 0.790 Tl
0.916 0.092 0.626 Tl
0.874 0.290 0.466 Tl
0.176 0.092 0.966 Tl
0.626 0.592 0.916 Tl
0.408 0.034 0.324 Tl
0.290 0.416 0.824 Tl
0.210 0.534 0.626 Tl
0.908 0.084 0.874 Tl
0.676 0.210 0.584 Tl
0.466 0.790 0.874 Tl
0.034 0.408 0.824 Tl
0.416 0.290 0.324 Tl
0.034 0.626 0.710 Tl
0.676 0.466 0.592 Tl
0.290 0.874 0.966 Tl
```

Output
As for the crystal system: cubic. Its theoretical density is 7.63 g/cm³. Its space group is Ia-3d. For the total DFT energy (no corrections), the calculation gives -3.32 eV/atom.



Entry 5:
Below is a geometry-optimized Tl2AsF structure, with properties calculated at the PBE level.

Cell and atoms, written as POSCAR:
```
Tl2AsF
1.0
-1.647 -0.744 4.640
-3.793 -3.118 0.826
0.809 -4.363 2.260
Tl As F
2 1 1
direct
0.250 0.250 0.250 Tl
0.750 0.750 0.750 Tl
0.500 0.500 0.500 As
0.000 0.000 0.000 F
```

Output
As for the crystal system: cubic. Its theoretical density is 9.56 g/cm³. Its space group is Fm-3m. For the distance to the lowest polymorph of the same formula, the calculation gives 0.0 meV/atom.



Entry 6:
Below is a geometry-optimized Tl2AsF5 structure, with properties calculated at the PBE level.

Cell and atoms, written as POSCAR:
```
Tl2AsF5
1.0
6.494 0.000 0.000
0.001 6.494 0.000
-3.247 -3.247 3.935
Tl As F
2 1 5
direct
0.261 0.761 0.522 Tl
0.761 0.261 0.522 Tl
0.015 0.015 0.030 As
0.772 0.205 0.977 F
0.206 0.206 0.978 F
0.771 0.771 0.976 F
0.205 0.772 0.977 F
0.786 0.786 0.571 F
```

Output
As for the crystal system: tetragonal. Its theoretical density is 5.79 g/cm³. Its space group is I4mm. For the distance to the lowest polymorph of the same formula, the calculation gives 17.1 meV/atom.



Entry 7:
Below is a geometry-optimized Tl2As2F structure, with properties calculated at the PBE level.

Cell and atoms, written as POSCAR:
```
Tl2As2F
1.0
7.490 0.000 0.000
0.000 7.490 0.000
0.000 0.000 5.520
Tl As F
4 4 2
direct
0.249 0.749 0.000 Tl
0.749 0.751 0.000 Tl
0.751 0.251 0.000 Tl
0.251 0.249 0.000 Tl
0.105 0.605 0.500 As
0.605 0.895 0.500 As
0.895 0.395 0.500 As
0.395 0.105 0.500 As
0.000 0.000 0.000 F
0.500 0.500 0.000 F
```

Output
As for the crystal system: tetragonal. Its theoretical density is 6.19 g/cm³. Its space group is P4/mbm. For the distance to the lowest polymorph of the same formula, the calculation gives 170.2 meV/atom.



Entry 8:
Below is a geometry-optimized TlAs2F structure, with properties calculated at the PBE level.

Cell and atoms, written as POSCAR:
```
TlAs2F
1.0
-2.914 -2.184 1.137
2.233 -1.601 2.647
-3.891 7.300 10.448
Tl As F
2 4 2
direct
0.000 0.000 0.000 Tl
0.750 0.250 0.500 Tl
0.574 0.125 0.250 As
0.176 0.625 0.250 As
0.375 0.426 0.750 As
0.875 0.824 0.750 As
0.500 0.500 0.000 F
0.250 0.750 0.500 F
```

Output
As for the crystal system: tetragonal. Its theoretical density is 6.52 g/cm³. Its space group is I-42d. For the distance to the lowest polymorph of the same formula, the calculation gives 0.0 meV/atom.



Entry 9:
Below is a geometry-optimized Tl2AsF5 structure, with properties calculated at the PBE level.

Cell and atoms, written as POSCAR:
```
Tl2AsF5
1.0
-0.875 -7.080 1.144
4.480 -0.258 -4.258
0.511 4.704 5.026
Tl As F
2 1 5
direct
0.750 0.163 0.445 Tl
0.236 0.816 0.500 Tl
0.963 0.964 0.947 As
0.162 0.773 0.027 F
0.922 0.858 0.595 F
0.067 0.127 0.348 F
0.828 0.226 0.921 F
0.296 0.296 0.218 F
```

Output
As for the crystal system: triclinic. Its theoretical density is 5.26 g/cm³. Its space group is P1. For the distance to the lowest polymorph of the same formula, the calculation gives 0.0 meV/atom.



Entry 10:
Below is a geometry-optimized TlAs2F structure, with properties calculated at the PBE level.

Cell and atoms, written as POSCAR:
```
TlAs2F
1.0
0.591 1.104 4.587
-3.738 1.306 2.632
-1.661 -2.905 3.377
Tl As F
1 2 1
direct
0.500 0.500 0.500 Tl
0.250 0.250 0.250 As
0.750 0.750 0.750 As
0.000 0.000 0.000 F
```

Output
As for the crystal system: cubic. Its theoretical density is 8.16 g/cm³. Its space group is Fm-3m. For the distance to the lowest polymorph of the same formula, the calculation gives 479.5 meV/atom.



Entry 11:
Below is a geometry-optimized YTlAsF2 structure, with properties calculated at the PBE level.

Cell and atoms, written as POSCAR:
```
YTlAsF2
1.0
4.369 0.000 0.000
0.000 4.369 0.000
0.000 0.000 5.975
Y Tl As F
1 1 1 2
direct
0.000 0.000 0.000 Y
0.500 0.500 0.500 Tl
0.000 0.000 0.500 As
0.000 0.500 0.000 F
0.500 0.000 0.000 F
```

Output
As for the crystal system: tetragonal. Its theoretical density is 5.92 g/cm³. Its space group is P4/mmm. For the total DFT energy (no corrections), the calculation gives -5.70 eV/atom.



Entry 12:
Below is a geometry-optimized TlZnAsF6 structure, with properties calculated at the PBE level.

Cell and atoms, written as POSCAR:
```
TlZnAsF6
1.0
5.667 0.018 0.006
2.846 4.903 -0.002
0.006 -0.007 5.921
Tl Zn As F
1 1 1 6
direct
0.000 0.999 0.007 Tl
0.666 0.665 0.480 Zn
0.333 0.334 0.495 As
0.977 0.349 0.320 F
0.404 0.029 0.688 F
0.567 0.408 0.688 F
0.023 0.571 0.688 F
0.356 0.673 0.315 F
0.674 0.971 0.319 F
```

Output
As for the crystal system: triclinic. Its theoretical density is 4.64 g/cm³. Its space group is P1. For the total DFT energy (no corrections), the calculation gives -4.26 eV/atom.